First-principles (PBE) data for Ba3BSe after structural relaxation, as listed in Alexandria via LeMat-Bulk.

Its excess energy over the best structure of this formula in the dataset is 0 meV per atom. As for the raw formation energy: -0.167 eV/atom. The calculation puts the total energy at -3.35 eV per atom. For the total magnetization, the calculation gives 0.000 Bohr magnetons per cell.

It has space group Pm-3m (No. 221), with a = 5.8050 Å, b = 5.8050 Å, c = 5.8050 Å, α = 90.00°, β = 90.00° and γ = 90.00°. Symmetry generates all atoms from Ba at (0.0000, 0.0000, 0.5000), B at (0.0000, 0.0000, 0.0000) and Se at (0.5000, 0.5000, 0.5000).